NiBRhO5: relaxed, PBE+U.

Structure (CIF):
```
data_NiBRhO5
_symmetry_space_group_name_H-M 'C 1 2/c 1'
_symmetry_Int_Tables_number 15
_cell_length_a 6.111
_cell_length_b 8.010
_cell_length_c 6.995
_cell_angle_alpha 90.00
_cell_angle_beta 114.34
_cell_angle_gamma 90.00
loop_
_symmetry_equiv_pos_as_xyz
'x,y,z'
'-x,-y,-z'
'-x,y,-z+1/2'
'x,-y,z+1/2'
'x+1/2,y+1/2,z'
'-x+1/2,-y+1/2,-z'
'-x+1/2,y+1/2,-z+1/2'
'x+1/2,-y+1/2,z+1/2'
loop_
_atom_site_label
_atom_site_fract_x
_atom_site_fract_y
_atom_site_fract_z
Ni1 0.000 0.148 0.250
B1 0.000 0.188 0.750
Rh1 0.000 0.500 0.000
O1 0.000 0.399 0.250
O2 0.136 0.291 0.663
O3 0.156 0.065 0.911
```

raw total energy: -50.58 eV per formula unit
density of states at the Fermi level: 14.33 states/eV per cell
calculated volume: 312 Å³ per cell
total moment: 4.21 μB per cell